This record from Alexandria describes SrNi2P after structural relaxation. The functional is PBE.

Cell lengths 3.9805, 3.9805, 9.0003 Å; angles 90.00, 90.00, 90.00 degrees
Sites, in units of the cell vectors:
Sr (0.2500, 0.2500, 0.2172)
Sr (0.7500, 0.7500, 0.7828)
Ni (0.2500, 0.2500, 0.8768)
Ni (0.2500, 0.7500, 0.5000)
Ni (0.7500, 0.2500, 0.5000)
Ni (0.7500, 0.7500, 0.1232)
P (0.2500, 0.2500, 0.6318)
P (0.7500, 0.7500, 0.3682)

Output
**Energy of formation from the pure elements**: -392 meV/atom